No. 1
Below is crystalline CaSiPb at its relaxed geometry, with properties calculated at the PBE-GGA level.

Unit cell a=4.3049 b=4.3049 c=5.1963 alpha=90.00 beta=90.00 gamma=120.00
Fractional positions:
Ca1 0.0000 0.0000 0.9543
Pb1 0.6667 0.3333 0.4008
Si1 0.3333 0.6667 0.6449

## Properties
raw total energy = -3.91 eV per atom
formation energy (no corrections) = -0.20 eV/atom

No. 2
Below is crystalline CaAlSe2N at its relaxed geometry, with properties calculated at the PBE-GGA level.

Unit cell a=5.4761 b=5.4761 c=4.2979 alpha=90.00 beta=90.00 gamma=90.00
Fractional positions:
Al1 0.5000 0.5000 0.5000
N1 0.0000 0.0000 0.5000
Se1 0.5000 0.0000 0.0000
Ca1 0.0000 0.0000 0.0000
Se2 0.0000 0.5000 0.0000

## Properties
raw total energy = -3.46 eV per atom
formation energy (no corrections) = 0.75 eV/atom

No. 3
Below is crystalline K2Hg9Au3 at its relaxed geometry, with properties calculated at the PBE-GGA level.

Unit cell a=8.7545 b=8.7545 c=12.1864 alpha=90.01 beta=110.72 gamma=120.49
Fractional positions:
Hg1 0.8760 0.1260 0.7500
Hg2 0.1240 0.8740 0.2500
Hg3 0.2131 0.5209 0.5780
Au1 0.8378 0.1696 0.5008
Au2 0.1622 0.8304 0.4992
K1 0.0039 0.4171 0.2515
Au3 0.1688 0.3370 0.9992
Hg4 0.5570 0.3649 0.0780
K2 0.6656 0.7524 0.2485
Hg5 0.8861 0.8565 0.5727
Hg6 0.8686 0.0201 0.0614
Hg7 0.4430 0.6351 0.9220
Hg8 0.4587 0.8072 0.4386
Hg9 0.1139 0.1435 0.4273
Hg10 0.1314 0.9799 0.9386
Au4 0.8312 0.6630 0.0008
Hg11 0.6696 0.7063 0.7515
Hg12 0.4548 0.9181 0.7485
Hg13 0.7838 0.3134 0.9273
Hg14 0.5413 0.1928 0.5614
Au5 0.5000 0.0000 0.0000
K3 0.3344 0.2476 0.7515
Hg15 0.2162 0.6866 0.0727
Hg16 0.5452 0.0819 0.2515
Hg17 0.3304 0.2937 0.2485
Au6 0.5000 0.5000 0.5000
K4 0.9961 0.5829 0.7485
Hg18 0.7869 0.4791 0.4220

## Properties
calculated formation energy = -2.03 eV/f.u.
raw total energy = -1.20 eV per atom